Entry 1:
Here is MgMn2Cr at its PBEsol-relaxed geometry from Alexandria via LeMat-Bulk. Energies are from SCAN.

Lattice parameters (Å, degrees): 4.111 4.111 2.993 90.00 90.00 90.00
Positions (direct):
Mg 0.000 0.000 0.000
Mn 0.000 0.500 0.500
Mn 0.500 0.000 0.500
Cr 0.500 0.500 0.000

The value obtained for the density of states at the Fermi level is 0.416 states/eV per atom. As for the formation energy from the elements: 0.055 eV per atom.

---

Entry 2:
Here is BeSbTe2 at its PBEsol-relaxed geometry from Alexandria via LeMat-Bulk. Energies are from SCAN.

Lattice parameters (Å, degrees): 5.150 5.150 3.854 90.00 90.00 110.81
Positions (direct):
Be 0.000 0.000 0.000
Sb 0.500 0.500 0.000
Te 0.211 0.789 0.500
Te 0.789 0.211 0.500

As for the energy above the most stable polymorph in this dataset: 0.088 eV/atom. The value obtained for the density of states at the Fermi level is 0.330 states/eV per atom. The calculation puts the formation energy (no corrections) at 0.1920 eV per atom.

---

Entry 3:
Here is CrFe2SeI at its PBEsol-relaxed geometry from Alexandria via LeMat-Bulk. Energies are from SCAN.

Lattice parameters (Å, degrees): 4.323 4.323 7.154 90.00 90.00 90.00
Positions (direct):
Cr 0.000 0.000 0.000
Fe 0.000 0.500 0.500
Fe 0.500 0.000 0.500
Se 0.500 0.500 0.500
I 0.500 0.500 0.000

The value obtained for the density of states at the Fermi level is 0.365 states/eV per atom. The calculation puts the formation energy (no corrections) at 0.7386 eV per atom.

---

- What is the formula in the first record?
  MgMn2Cr